Run a
# Nd7Sm2Ho3 (PBE-GGA, relaxed)
# Symmetry: P2/m, No. 10
# Spin magnetization: 0.000 μB/f.u.
data_Nd7Sm2Ho3
_chemical_formula_sum 'Nd7 Sm2 Ho3'
_cell_length_a 3.579
_cell_length_b 6.495
_cell_length_c 18.211
_cell_angle_alpha 75.06
_cell_angle_beta 90.00
_cell_angle_gamma 90.00
_symmetry_space_group_name_H-M 'P 1'
_symmetry_Int_Tables_number 1
_symmetry_space_group_name_Hall 'P 1'
loop_
_atom_site_label
_atom_site_type_symbol
_atom_site_fract_x
_atom_site_fract_y
_atom_site_fract_z
Ho1 Ho 0.500 0.500 0.000
Nd1 Nd 0.500 0.944 0.829
Ho2 Ho 0.000 0.115 0.341
Nd2 Nd 0.000 0.557 0.166
Sm1 Sm 0.500 0.612 0.330
Nd3 Nd 0.000 0.443 0.834
Nd4 Nd 0.500 0.763 0.495
Nd5 Nd 0.500 0.056 0.171
Sm2 Sm 0.500 0.388 0.670
Ho3 Ho 0.000 0.885 0.659
Nd6 Nd 0.000 0.000 0.000
Nd7 Nd 0.500 0.237 0.505


Run b
# Nd7Sm2Ho3 (PBE-GGA, relaxed)
# Symmetry: P2/m, No. 10
# Spin magnetization: 0.000 μB/f.u.
data_Nd7Sm2Ho3
_chemical_formula_sum 'Nd7 Sm2 Ho3'
_cell_length_a 3.640
_cell_length_b 5.918
_cell_length_c 19.126
_cell_angle_alpha 93.65
_cell_angle_beta 90.00
_cell_angle_gamma 90.00
_symmetry_space_group_name_H-M 'P 1'
_symmetry_Int_Tables_number 1
_symmetry_space_group_name_Hall 'P 1'
loop_
_atom_site_label
_atom_site_type_symbol
_atom_site_fract_x
_atom_site_fract_y
_atom_site_fract_z
Nd1 Nd 0.500 0.742 0.465
Sm1 Sm 0.500 0.298 0.702
Sm2 Sm 0.500 0.702 0.298
Nd2 Nd 0.000 0.327 0.856
Nd3 Nd 0.000 0.673 0.144
Ho1 Ho 0.500 0.500 0.000
Ho2 Ho 0.000 0.786 0.632
Nd4 Nd 0.500 0.176 0.182
Nd5 Nd 0.500 0.824 0.818
Ho3 Ho 0.000 0.214 0.368
Nd6 Nd 0.500 0.258 0.535
Nd7 Nd 0.000 0.000 0.000


Verdict on stability: run b comes out at the bottom.


Run a
# Nd4SmHo3 (PBE-GGA, relaxed)
# Symmetry: Pmn2_1, No. 31
# Spin magnetization: 0.000 μB/f.u.
data_Nd4SmHo3
_chemical_formula_sum 'Nd8 Sm2 Ho6'
_cell_length_a 6.329
_cell_length_b 7.340
_cell_length_c 11.630
_cell_angle_alpha 90.00
_cell_angle_beta 90.00
_cell_angle_gamma 90.00
_symmetry_space_group_name_H-M 'P 1'
_symmetry_Int_Tables_number 1
_symmetry_space_group_name_Hall 'P 1'
loop_
_atom_site_label
_atom_site_type_symbol
_atom_site_fract_x
_atom_site_fract_y
_atom_site_fract_z
Nd1 Nd 0.482 0.873 0.247
Nd2 Nd 0.982 0.127 0.747
Ho1 Ho 0.647 0.620 0.000
Sm1 Sm 0.149 0.376 0.000
Ho2 Ho 0.481 0.378 0.250
Ho3 Ho 0.481 0.378 0.750
Ho4 Ho 0.981 0.622 0.250
Nd3 Nd 0.982 0.127 0.253
Ho5 Ho 0.147 0.380 0.500
Nd4 Nd 0.482 0.873 0.753
Ho6 Ho 0.981 0.622 0.750
Nd5 Nd 0.643 0.129 0.500
Nd6 Nd 0.143 0.871 0.000
Nd7 Nd 0.650 0.128 0.000
Nd8 Nd 0.150 0.872 0.500
Sm2 Sm 0.649 0.624 0.500


Run b
# Nd4SmHo3 (PBE-GGA, relaxed)
# Symmetry: Pmna, No. 53
# Spin magnetization: 0.000 μB/f.u.
data_Nd4SmHo3
_chemical_formula_sum 'Nd8 Sm2 Ho6'
_cell_length_a 7.224
_cell_length_b 7.223
_cell_length_c 10.241
_cell_angle_alpha 90.00
_cell_angle_beta 90.00
_cell_angle_gamma 90.00
_symmetry_space_group_name_H-M 'P 1'
_symmetry_Int_Tables_number 1
_symmetry_space_group_name_Hall 'P 1'
loop_
_atom_site_label
_atom_site_type_symbol
_atom_site_fract_x
_atom_site_fract_y
_atom_site_fract_z
Nd1 Nd 0.000 0.311 0.500
Nd2 Nd 0.500 0.810 0.500
Ho1 Ho 0.000 0.810 0.500
Sm1 Sm 0.500 0.311 0.500
Nd3 Nd 0.249 0.561 0.250
Nd4 Nd 0.249 0.561 0.750
Ho2 Ho 0.752 0.561 0.750
Sm2 Sm 0.500 0.811 0.000
Ho3 Ho 0.000 0.310 0.000
Ho4 Ho 0.248 0.061 0.250
Nd5 Nd 0.000 0.811 0.000
Nd6 Nd 0.500 0.310 0.000
Ho5 Ho 0.752 0.561 0.250
Nd7 Nd 0.751 0.061 0.750
Nd8 Nd 0.751 0.061 0.250
Ho6 Ho 0.248 0.061 0.750


Verdict on stability: run a comes out at the bottom.